Record 1
28
Lattice="5.185 0.000 0.000 0.000 5.995 0.000 0.000 0.000 10.317" Properties=species:S:1:pos:R:3 comment="LiCo2OF3, relaxed, DFT PBE with a Hubbard U" dft_energy_ry_per_atom=-0.383 space_group="Pnma (62)" pbc="T T T"
Co 2.549 1.499 7.799
Co 2.636 4.496 2.519
Co 5.141 4.496 7.677
Co 2.593 2.998 5.159
Co 0.000 0.000 0.000
Co 2.593 0.000 5.159
Co 0.044 1.499 2.640
Co 0.000 2.998 0.000
F 1.431 0.069 1.714
F 3.755 3.066 8.603
F 1.162 0.069 6.873
F 3.755 5.926 8.603
F 1.108 1.499 4.400
F 1.485 1.499 9.559
F 4.023 3.066 3.444
F 3.700 4.496 0.758
F 4.023 5.926 3.444
F 1.162 2.929 6.873
F 1.431 2.929 1.714
F 4.078 4.496 5.917
Li 5.064 4.496 4.237
Li 2.472 1.499 0.921
Li 2.713 4.496 9.396
Li 0.121 1.499 6.080
O 0.858 4.496 9.422
O 3.451 1.499 6.054
O 4.327 1.499 0.896
O 1.735 4.496 4.263

Record 2
19
Lattice="4.868 -0.162 -0.108 -0.115 4.888 -0.088 0.191 0.283 9.166" Properties=species:S:1:pos:R:3 comment="LiCo6O2F10, relaxed, DFT PBE with a Hubbard U" dft_energy_ry_per_atom=-0.371 space_group="P1 (1)" pbc="T T T"
F 1.482 1.538 6.117
F 3.899 0.751 1.472
F 3.485 3.256 3.022
F 1.274 4.213 7.693
F 4.054 0.900 7.704
F 1.025 3.983 4.555
F 1.166 4.125 1.426
F 3.958 0.806 4.570
F 1.510 1.557 3.124
F 3.562 3.295 -0.050
O 3.451 3.277 6.166
O 1.785 1.806 9.064
Co 2.447 2.360 1.490
Co 0.003 4.941 3.079
Co 2.570 2.532 7.544
Co 0.215 0.133 0.074
Co 4.849 4.686 5.995
Co 2.545 2.437 4.648
Li 2.678 5.078 8.982

Record 3
28
Lattice="-2.294 -5.460 1.551 5.044 -2.797 -2.158 3.678 0.643 7.628" Properties=species:S:1:pos:R:3 comment="LiCo2OF3, relaxed, DFT PBE with a Hubbard U" dft_energy_ry_per_atom=-0.382 space_group="P1 (1)" pbc="T T T"
F 1.798 -5.578 6.776
F 5.338 -4.410 4.924
F 1.913 -2.797 -0.639
F 1.112 -3.326 2.065
F 4.314 -4.788 7.653
F 4.295 -6.927 5.709
F 3.550 -4.557 1.071
F 2.739 -5.266 3.982
F 4.608 -1.977 0.288
F 2.888 -3.016 5.982
F 1.935 -3.439 8.655
F 3.875 -2.465 3.067
Co 6.626 -2.978 5.518
Co 2.812 -1.601 4.519
Co 2.452 -6.037 0.485
Co 5.716 -1.825 2.170
Co 1.245 -0.729 -0.412
Co 0.793 -4.647 3.580
Co 1.015 -3.558 6.743
Co 0.459 -1.235 2.278
Li 4.519 -4.551 2.903
Li 0.183 -3.356 0.229
Li 3.565 -4.925 5.752
Li 2.832 -2.561 1.276
O 6.131 -3.757 1.992
O 2.161 -0.686 1.310
O -0.389 -1.462 0.448
O 5.079 -6.520 2.945

Record 4
14
Lattice="-4.966 -3.046 0.063 4.098 -1.025 4.083 -3.058 4.989 0.237" Properties=species:S:1:pos:R:3 comment="Li2CoOF3, relaxed, DFT PBE with a Hubbard U" dft_energy_ry_per_atom=-0.368 space_group="C2/m (12)" pbc="T T T"
O -2.620 -1.255 2.177
O -1.305 2.173 2.206
Li 0.909 -1.417 3.164
Li 0.000 0.000 0.000
Li -4.834 2.335 1.219
Li -1.529 2.495 0.119
F -3.999 0.995 2.332
F -1.990 0.411 4.158
F 0.073 -0.077 2.051
F -1.936 0.507 0.225
F 0.612 2.006 4.125
F -4.537 -1.089 0.258
Co 0.520 1.982 2.160
Co -1.963 0.459 2.192

Record 5
28
Lattice="5.995 0.000 0.000 0.000 6.210 0.000 0.000 0.000 8.736" Properties=species:S:1:pos:R:3 comment="LiCo2OF3, relaxed, DFT PBE with a Hubbard U" dft_energy_ry_per_atom=-0.384 space_group="Pnma (62)" pbc="T T T"
F 5.938 3.020 6.519
F 4.496 1.518 8.520
F 1.499 1.588 4.152
F 1.499 4.693 0.216
F 2.940 0.086 2.151
F 5.938 6.125 6.585
F 0.057 0.086 2.151
F 2.940 3.191 2.217
F 3.055 6.125 6.585
F 0.057 3.191 2.217
F 3.055 3.020 6.519
F 4.496 4.623 4.584
Li 1.499 0.163 7.815
Li 4.496 6.047 0.921
Li 1.499 3.268 5.289
Li 4.496 2.942 3.447
O 4.496 1.275 4.481
O 1.499 4.936 4.255
O 4.496 4.380 8.623
O 1.499 1.831 0.113
Co 0.000 0.000 4.368
Co 1.499 1.639 2.059
Co 0.000 3.105 0.000
Co 1.499 4.744 2.309
Co 2.997 3.105 0.000
Co 4.496 4.572 6.677
Co 2.997 0.000 4.368
Co 4.496 1.467 6.427

Record 6
28
Lattice="0.946 -4.108 4.306 5.583 -1.472 1.723 2.018 5.182 8.912" Properties=species:S:1:pos:R:3 comment="Li6Co6O5F11, relaxed, DFT PBE with a Hubbard U" dft_energy_ry_per_atom=-0.379 space_group="Cm (8)" pbc="T T T"
F 6.104 0.439 7.841
F 5.401 -4.154 5.458
F 1.072 1.267 3.218
F 2.087 3.703 7.527
F 3.700 0.507 3.989
F 4.407 -1.758 6.119
F 1.536 -0.722 5.194
F 4.988 -2.194 3.480
F 2.780 -3.449 4.710
F 3.671 -0.944 9.197
F 3.132 1.249 6.898
O 6.459 -1.588 9.977
O 5.396 1.025 10.735
O 4.881 3.206 8.391
O 2.396 1.793 9.775
O 2.169 -1.313 2.556
Co 6.383 0.885 12.364
Co 7.470 -1.638 11.742
Co 6.968 0.258 9.770
Co 4.918 -0.907 10.912
Co 6.202 -2.207 5.131
Co 3.642 -3.662 6.557
Li 2.183 1.204 5.148
Li 3.260 -1.474 4.349
Li 2.067 5.090 8.906
Li 6.417 -2.886 8.577
Li 4.297 -0.190 7.521
Li 4.212 2.440 10.053

For the records above, the corresponding total magnetic moment values read 24.02; 10.89; 24.04; 4.02; 24.05; 21.05 μB/cell.